# 1
NpCo3O6: relaxed, GGA+U.

POSCAR file:
```
NpCo3O6
1.0
4.413 2.548 3.605
-4.413 2.548 3.605
0.000 -5.096 3.605
Np Co O
2 6 12
Direct
0.000 0.000 0.000
0.500 0.500 0.500
0.058 0.740 0.564
0.260 0.436 0.942
0.436 0.942 0.260
0.564 0.058 0.740
0.740 0.564 0.058
0.942 0.260 0.436
0.056 0.688 0.894
0.106 0.944 0.312
0.187 0.421 0.577
0.312 0.106 0.944
0.421 0.577 0.187
0.423 0.813 0.579
0.577 0.187 0.421
0.579 0.423 0.813
0.688 0.894 0.056
0.813 0.579 0.423
0.894 0.056 0.688
0.944 0.312 0.106
```

Results
- volume (Å³/f.u.) = 121.63
- DFT total energy (eV/atom) = -7.490

=====

# 2
NpCoO4: relaxed, GGA+U.

POSCAR file:
```
NpCoO4
1.0
3.280 -3.304 0.000
3.280 3.304 0.000
0.000 0.000 3.471
Np Co O
1 1 4
Direct
0.000 0.000 0.000
0.500 0.500 0.500
0.196 0.804 0.500
0.297 0.297 0.000
0.703 0.703 0.000
0.804 0.196 0.500
```

Results
- volume (Å³/f.u.) = 75.24
- density of states at the Fermi level (states/eV per cell) = 3.243
- DFT total energy (eV/atom) = -8.502

=====

# 3
Np2CoO11: relaxed, GGA+U.

POSCAR file:
```
Np2CoO11
1.0
-4.459 5.007 5.135
4.459 -5.007 5.135
4.459 5.007 -5.135
Np Co O
4 2 22
Direct
0.231 0.167 0.398
0.269 0.667 0.936
0.731 0.333 0.064
0.769 0.833 0.602
0.250 0.250 0.000
0.750 0.750 0.000
0.000 0.500 0.500
0.015 0.056 0.805
0.033 0.615 0.901
0.142 0.432 0.574
0.214 0.115 0.582
0.250 0.210 0.195
0.250 0.444 0.959
0.286 0.868 0.901
0.358 0.932 0.290
0.467 0.368 0.582
0.485 0.290 0.041
0.500 0.000 0.500
0.515 0.710 0.959
0.533 0.632 0.418
0.642 0.068 0.710
0.714 0.132 0.099
0.750 0.556 0.041
0.750 0.790 0.805
0.786 0.885 0.418
0.858 0.568 0.426
0.967 0.385 0.099
0.985 0.944 0.195
```

Results
- volume (Å³/f.u.) = 229.28
- density of states at the Fermi level (states/eV per cell) = 6.118
- DFT total energy (eV/atom) = -7.398

=====

# 4
Np3Co5O16: relaxed, GGA+U.

POSCAR file:
```
Np3Co5O16
1.0
5.220 -3.395 0.000
5.220 3.395 0.000
-1.038 0.000 8.986
Np Co O
3 5 16
Direct
0.000 0.000 0.000
0.248 0.744 0.507
0.744 0.248 0.507
0.002 0.498 0.998
0.247 0.247 0.513
0.498 0.002 0.998
0.513 0.513 0.146
0.786 0.786 0.747
0.066 0.066 0.399
0.097 0.569 0.400
0.100 0.667 0.878
0.130 0.130 0.873
0.328 0.328 0.077
0.351 0.854 0.103
0.422 0.907 0.617
0.430 0.430 0.621
0.543 0.543 0.373
0.569 0.097 0.400
0.667 0.100 0.878
0.684 0.684 0.904
0.854 0.351 0.103
0.874 0.874 0.133
0.907 0.422 0.617
0.926 0.926 0.621
```

Results
- volume (Å³/f.u.) = 318.51
- density of states at the Fermi level (states/eV per cell) = 7.383
- DFT total energy (eV/atom) = -7.669